Record 1
# PmPu2CrC4, optimized geometry, DFT PBE
# - Energy: -318.725 eV/cell
# - Total magnetization: 8.977 μB/f.u.
# - Formation enthalpy at 0 K: 0.0315 eV/atom
data_PmPu2CrC4
_cell_length_a 3.533
_cell_length_b 11.472
_cell_length_c 11.951
_cell_angle_alpha 90.00
_cell_angle_beta 90.00
_cell_angle_gamma 90.00
_space_group_name_H-M_alt 'C m c m'
_space_group_IT_number 63
_space_group_name_Hall '-C 2c 2'
loop_
_atom_site_label
_atom_site_type_symbol
_atom_site_fract_x
_atom_site_fract_y
_atom_site_fract_z
Pm1 Pm 0.000 0.106 0.250
Pu1 Pu 0.000 0.370 0.044
Cr1 Cr 0.000 0.164 0.750
C1 C 0.000 0.000 0.000
C2 C 0.000 0.260 0.628
C3 C 0.000 0.414 0.250



Record 2
# Nb4ZnRh7, optimized geometry, DFT PBE
# - Energy: -189.474 eV/cell
# - Total magnetization: 0.000 μB/f.u.
# - Formation enthalpy at 0 K: -0.1437 eV/atom
data_Nb4ZnRh7
_cell_length_a 10.725
_cell_length_b 4.658
_cell_length_c 9.286
_cell_angle_alpha 90.00
_cell_angle_beta 119.25
_cell_angle_gamma 90.00
_space_group_name_H-M_alt 'C 1 2/m 1'
_space_group_IT_number 12
loop_
_space_group_symop_operation_xyz
'x,y,z'
'-x,-y,-z'
'-x,y,-z'
'x,-y,z'
'x+1/2,y+1/2,z'
'-x+1/2,-y+1/2,-z'
'-x+1/2,y+1/2,-z'
'x+1/2,-y+1/2,z'
loop_
_atom_site_label
_atom_site_type_symbol
_atom_site_fract_x
_atom_site_fract_y
_atom_site_fract_z
Nb1 Nb 0.085 0.000 0.275
Nb2 Nb 0.246 0.000 0.829
Zn1 Zn 0.000 0.500 0.500
Rh1 Rh 0.000 0.000 0.500
Rh2 Rh 0.077 0.500 0.830
Rh3 Rh 0.138 0.000 0.040
Rh4 Rh 0.208 0.500 0.407



Record 3
# Ca3AlTe4, optimized geometry, DFT PBE
# - E_form (uncorrected): -1.1159 eV/atom
# - Energy: -62.483 eV/cell
# - Total magnetization: 0.000 μB/f.u.
data_Ca3AlTe4
_cell_length_a 10.512
_cell_length_b 9.206
_cell_length_c 6.309
_cell_angle_alpha 90.00
_cell_angle_beta 90.00
_cell_angle_gamma 90.00
_space_group_name_H-M_alt 'P m n 21'
_space_group_IT_number 31
loop_
_space_group_symop_operation_xyz
'x,y,z'
'-x+1/2,-y,z+1/2'
'-x,y,z'
'x+1/2,-y,z+1/2'
loop_
_atom_site_label
_atom_site_type_symbol
_atom_site_fract_x
_atom_site_fract_y
_atom_site_fract_z
Ca1 Ca 0.000 0.163 0.000
Ca2 Ca 0.245 0.334 0.500
Al1 Al 0.000 0.829 0.449
Te1 Te 0.000 0.140 0.500
Te2 Te 0.000 0.829 0.007
Te3 Te 0.236 0.675 0.500



Record 4
# Hg2Te2Pt, optimized geometry, DFT PBE
# - E_form (uncorrected): 0.0940 eV/atom
# - Energy: -24.915 eV/cell
# - Total magnetization: 0.000 μB/f.u.
data_Hg2Te2Pt
_cell_length_a 7.546
_cell_length_b 7.546
_cell_length_c 4.784
_cell_angle_alpha 90.00
_cell_angle_beta 90.00
_cell_angle_gamma 90.00
_space_group_name_H-M_alt 'P 4/m b m'
_space_group_IT_number 127
_space_group_name_Hall '-P 4 2ab'
loop_
_atom_site_label
_atom_site_type_symbol
_atom_site_fract_x
_atom_site_fract_y
_atom_site_fract_z
Hg1 Hg 0.135 0.365 0.000
Te1 Te 0.200 0.700 0.500
Pt1 Pt 0.000 0.000 0.500



Record 5
# HfTl2Os, optimized geometry, DFT PBE
# - E above lowest polymorph: 0.240 eV per atom
# - Energy: -90.602 eV/cell
# - Total magnetization: 0.000 μB/f.u.
# - Formation enthalpy at 0 K: 0.8163 eV/atom
data_HfTl2Os
_cell_length_a 7.921
_cell_length_b 7.921
_cell_length_c 5.710
_cell_angle_alpha 90.00
_cell_angle_beta 90.00
_cell_angle_gamma 90.00
_space_group_name_H-M_alt 'I -4 2 d'
_space_group_IT_number 122
_space_group_name_Hall 'I -4 2bw'
loop_
_atom_site_label
_atom_site_type_symbol
_atom_site_fract_x
_atom_site_fract_y
_atom_site_fract_z
Hf1 Hf 0.000 0.000 0.000
Tl1 Tl 0.224 0.750 0.625
Os1 Os 0.000 0.000 0.500



Record 6
# Pr2HoBi, optimized geometry, DFT PBE
# - E above lowest polymorph: 0.010 eV per atom
# - Energy: -19.574 eV/cell
# - Total magnetization: 0.000 μB/f.u.
# - Formation enthalpy at 0 K: -0.3892 eV/atom
data_Pr2HoBi
_cell_length_a 4.348
_cell_length_b 4.348
_cell_length_c 6.903
_cell_angle_alpha 90.00
_cell_angle_beta 90.00
_cell_angle_gamma 90.00
_space_group_name_H-M_alt 'P 4/m m m'
_space_group_IT_number 123
_space_group_name_Hall '-P 4 2'
loop_
_atom_site_label
_atom_site_type_symbol
_atom_site_fract_x
_atom_site_fract_y
_atom_site_fract_z
Pr1 Pr 0.000 0.000 0.238
Ho1 Ho 0.500 0.500 0.500
Bi1 Bi 0.500 0.500 0.000



Record 7
# TmMgSc4, optimized geometry, DFT PBE
# - E above lowest polymorph: 0.000 eV per atom
# - Energy: -31.321 eV/cell
# - Total magnetization: 0.005 μB/f.u.
# - Formation enthalpy at 0 K: 0.0119 eV/atom
data_TmMgSc4
_cell_length_a 3.323
_cell_length_b 3.323
_cell_length_c 13.628
_cell_angle_alpha 90.00
_cell_angle_beta 90.00
_cell_angle_gamma 90.00
_space_group_name_H-M_alt 'P 4/m m m'
_space_group_IT_number 123
_space_group_name_Hall '-P 4 2'
loop_
_atom_site_label
_atom_site_type_symbol
_atom_site_fract_x
_atom_site_fract_y
_atom_site_fract_z
Tm1 Tm 0.000 0.000 0.000
Mg1 Mg 0.500 0.500 0.500
Sc1 Sc 0.000 0.000 0.339
Sc2 Sc 0.500 0.500 0.177



Record 8
# ErZrGaOs, optimized geometry, DFT PBE
# - Energy: -115.552 eV/cell
# - Total magnetization: 0.000 μB/f.u.
# - Formation enthalpy at 0 K: -0.3801 eV/atom
data_ErZrGaOs
_cell_length_a 6.777
_cell_length_b 6.777
_cell_length_c 6.777
_cell_angle_alpha 90.00
_cell_angle_beta 90.00
_cell_angle_gamma 90.00
_space_group_name_H-M_alt 'F -4 3 m'
_space_group_IT_number 216
_space_group_name_Hall 'F -4 2 3'
loop_
_atom_site_label
_atom_site_type_symbol
_atom_site_fract_x
_atom_site_fract_y
_atom_site_fract_z
Er1 Er 0.000 0.000 0.000
Zr1 Zr 0.000 0.000 0.500
Ga1 Ga 0.250 0.250 0.250
Os1 Os 0.250 0.250 0.750



Record 9
# ZrIrCl2, optimized geometry, DFT PBE
# - E above lowest polymorph: 0.051 eV per atom
# - E_form (uncorrected): -0.7556 eV/atom
# - Energy: -48.250 eV/cell
# - Total magnetization: 0.000 μB/f.u.
data_ZrIrCl2
_cell_length_a 5.589
_cell_length_b 3.746
_cell_length_c 9.184
_cell_angle_alpha 90.00
_cell_angle_beta 103.31
_cell_angle_gamma 90.00
_space_group_name_H-M_alt 'C 1 m 1'
_space_group_IT_number 8
loop_
_space_group_symop_operation_xyz
'x,y,z'
'x,-y,z'
'x+1/2,y+1/2,z'
'x+1/2,-y+1/2,z'
loop_
_atom_site_label
_atom_site_type_symbol
_atom_site_fract_x
_atom_site_fract_y
_atom_site_fract_z
Zr1 Zr 0.000 0.000 0.000
Ir1 Ir 0.371 0.000 0.810
Cl1 Cl 0.049 0.500 0.598
Cl2 Cl 0.254 0.500 0.205



Record 10
# Tl2Co2Pd, optimized geometry, DFT PBE
# - Energy: -44.505 eV/cell
# - Total magnetization: 0.615 μB/f.u.
# - Formation enthalpy at 0 K: 0.3770 eV/atom
data_Tl2Co2Pd
_cell_length_a 6.626
_cell_length_b 6.626
_cell_length_c 3.854
_cell_angle_alpha 90.00
_cell_angle_beta 90.00
_cell_angle_gamma 90.00
_space_group_name_H-M_alt 'P 4/m b m'
_space_group_IT_number 127
_space_group_name_Hall '-P 4 2ab'
loop_
_atom_site_label
_atom_site_type_symbol
_atom_site_fract_x
_atom_site_fract_y
_atom_site_fract_z
Tl1 Tl 0.180 0.320 0.000
Co1 Co 0.121 0.621 0.500
Pd1 Pd 0.000 0.000 0.500



Record 11
# Ta2V3Mo7, optimized geometry, DFT PBE
# - Energy: -245.573 eV/cell
# - Total magnetization: 0.000 μB/f.u.
# - Formation enthalpy at 0 K: 0.3410 eV/atom
data_Ta2V3Mo7
_cell_length_a 4.455
_cell_length_b 21.792
_cell_length_c 4.277
_cell_angle_alpha 90.00
_cell_angle_beta 90.00
_cell_angle_gamma 90.00
_space_group_name_H-M_alt 'C m m m'
_space_group_IT_number 65
_space_group_name_Hall '-C 2 2'
loop_
_atom_site_label
_atom_site_type_symbol
_atom_site_fract_x
_atom_site_fract_y
_atom_site_fract_z
Ta1 Ta 0.000 0.148 0.000
V1 V 0.000 0.355 0.500
V2 V 0.000 0.500 0.500
Mo1 Mo 0.000 0.000 0.000
Mo2 Mo 0.000 0.071 0.500
Mo3 Mo 0.000 0.286 0.000
Mo4 Mo 0.000 0.427 0.000



Record 12
# Pr6Dy3Y2Mg, optimized geometry, DFT PBE
# - Energy: -113.541 eV/cell
# - Total magnetization: 0.000 μB/f.u.
# - Formation enthalpy at 0 K: 0.0196 eV/atom
data_Pr6Dy3Y2Mg
_cell_length_a 6.277
_cell_length_b 10.880
_cell_length_c 11.867
_cell_angle_alpha 90.00
_cell_angle_beta 100.20
_cell_angle_gamma 90.00
_space_group_name_H-M_alt 'C 1 2/m 1'
_space_group_IT_number 12
loop_
_space_group_symop_operation_xyz
'x,y,z'
'-x,-y,-z'
'-x,y,-z'
'x,-y,z'
'x+1/2,y+1/2,z'
'-x+1/2,-y+1/2,-z'
'-x+1/2,y+1/2,-z'
'x+1/2,-y+1/2,z'
loop_
_atom_site_label
_atom_site_type_symbol
_atom_site_fract_x
_atom_site_fract_y
_atom_site_fract_z
Pr1 Pr 0.248 0.166 0.249
Pr2 Pr 0.249 0.000 0.750
Dy1 Dy 0.000 0.167 0.500
Dy2 Dy 0.000 0.500 0.500
Y1 Y 0.000 0.333 0.000
Mg1 Mg 0.000 0.000 0.000



Record 13
# AlOsAu2, optimized geometry, DFT PBE
# - Energy: -41.389 eV/cell
# - Total magnetization: 0.000 μB/f.u.
# - Formation enthalpy at 0 K: 0.2081 eV/atom
data_AlOsAu2
_cell_length_a 4.114
_cell_length_b 4.114
_cell_length_c 7.607
_cell_angle_alpha 90.00
_cell_angle_beta 90.00
_cell_angle_gamma 90.00
_space_group_name_H-M_alt 'I -4 m 2'
_space_group_IT_number 119
_space_group_name_Hall 'I -4 -2'
loop_
_atom_site_label
_atom_site_type_symbol
_atom_site_fract_x
_atom_site_fract_y
_atom_site_fract_z
Al1 Al 0.000 0.000 0.000
Os1 Os 0.000 0.500 0.250
Au1 Au 0.000 0.000 0.500
Au2 Au 0.000 0.500 0.750



Record 14
# V8Ga3Sn2, optimized geometry, DFT PBE
# - Energy: -173.891 eV/cell
# - Total magnetization: 2.306 μB/f.u.
# - Formation enthalpy at 0 K: 0.2377 eV/atom
data_V8Ga3Sn2
_cell_length_a 15.380
_cell_length_b 6.146
_cell_length_c 4.517
_cell_angle_alpha 90.00
_cell_angle_beta 94.68
_cell_angle_gamma 90.00
_space_group_name_H-M_alt 'C 1 2/m 1'
_space_group_IT_number 12
loop_
_space_group_symop_operation_xyz
'x,y,z'
'-x,-y,-z'
'-x,y,-z'
'x,-y,z'
'x+1/2,y+1/2,z'
'-x+1/2,-y+1/2,-z'
'-x+1/2,y+1/2,-z'
'x+1/2,-y+1/2,z'
loop_
_atom_site_label
_atom_site_type_symbol
_atom_site_fract_x
_atom_site_fract_y
_atom_site_fract_z
V1 V 0.097 0.179 0.036
V2 V 0.133 0.500 0.402
V3 V 0.164 0.000 0.540
Ga1 Ga 0.000 0.215 0.500
Ga2 Ga 0.000 0.500 0.000
Sn1 Sn 0.231 0.500 0.919



Record 15
# TlAgAuS2, optimized geometry, DFT PBE
# - E_form (uncorrected): -0.1166 eV/atom
# - Energy: -34.666 eV/cell
# - Total magnetization: 0.000 μB/f.u.
data_TlAgAuS2
_cell_length_a 6.735
_cell_length_b 4.996
_cell_length_c 7.334
_cell_angle_alpha 90.00
_cell_angle_beta 95.57
_cell_angle_gamma 90.00
_space_group_name_H-M_alt 'P 1 2/c 1'
_space_group_IT_number 13
loop_
_space_group_symop_operation_xyz
'x,y,z'
'-x,-y,-z'
'-x,y,-z+1/2'
'x,-y,z+1/2'
loop_
_atom_site_label
_atom_site_type_symbol
_atom_site_fract_x
_atom_site_fract_y
_atom_site_fract_z
Tl1 Tl 0.000 0.080 0.250
Ag1 Ag 0.500 0.491 0.750
Au1 Au 0.500 0.000 0.000
S1 S 0.251 0.323 0.981



Record 16
# AsOsSeN2, optimized geometry, DFT PBE
# - E above lowest polymorph: 1.056 eV per atom
# - E_form (uncorrected): 1.8505 eV/atom
# - Energy: -26.762 eV/cell
# - Total magnetization: 2.734 μB/f.u.
data_AsOsSeN2
_cell_length_a 3.617
_cell_length_b 3.617
_cell_length_c 6.839
_cell_angle_alpha 90.00
_cell_angle_beta 90.00
_cell_angle_gamma 90.00
_space_group_name_H-M_alt 'P 4/m m m'
_space_group_IT_number 123
_space_group_name_Hall '-P 4 2'
loop_
_atom_site_label
_atom_site_type_symbol
_atom_site_fract_x
_atom_site_fract_y
_atom_site_fract_z
As1 As 0.000 0.000 0.000
Os1 Os 0.500 0.500 0.500
Se1 Se 0.000 0.000 0.500
N1 N 0.000 0.500 0.000



Record 17
# Sc8Al2In, optimized geometry, DFT PBE
# - E above lowest polymorph: 0.090 eV per atom
# - Energy: -124.769 eV/cell
# - Total magnetization: 0.843 μB/f.u.
# - Formation enthalpy at 0 K: -0.1371 eV/atom
data_Sc8Al2In
_cell_length_a 8.181
_cell_length_b 13.479
_cell_length_c 5.072
_cell_angle_alpha 90.00
_cell_angle_beta 113.32
_cell_angle_gamma 90.00
_space_group_name_H-M_alt 'C 1 2/m 1'
_space_group_IT_number 12
loop_
_space_group_symop_operation_xyz
'x,y,z'
'-x,-y,-z'
'-x,y,-z'
'x,-y,z'
'x+1/2,y+1/2,z'
'-x+1/2,-y+1/2,-z'
'-x+1/2,y+1/2,-z'
'x+1/2,-y+1/2,z'
loop_
_atom_site_label
_atom_site_type_symbol
_atom_site_fract_x
_atom_site_fract_y
_atom_site_fract_z
Sc1 Sc 0.000 0.220 0.000
Sc2 Sc 0.098 0.500 0.797
Sc3 Sc 0.212 0.119 0.626
Al1 Al 0.000 0.306 0.500
In1 In 0.000 0.000 0.000



Record 18
# U6P5S, optimized geometry, DFT PBE
# - E_form (uncorrected): -1.0417 eV/atom
# - Energy: -222.812 eV/cell
# - Total magnetization: 12.140 μB/f.u.
data_U6P5S
_cell_length_a 6.788
_cell_length_b 11.769
_cell_length_c 6.789
_cell_angle_alpha 90.00
_cell_angle_beta 109.51
_cell_angle_gamma 90.00
_space_group_name_H-M_alt 'C 1 2/m 1'
_space_group_IT_number 12
loop_
_space_group_symop_operation_xyz
'x,y,z'
'-x,-y,-z'
'-x,y,-z'
'x,-y,z'
'x+1/2,y+1/2,z'
'-x+1/2,-y+1/2,-z'
'-x+1/2,y+1/2,-z'
'x+1/2,-y+1/2,z'
loop_
_atom_site_label
_atom_site_type_symbol
_atom_site_fract_x
_atom_site_fract_y
_atom_site_fract_z
U1 U 0.250 0.000 0.250
U2 U 0.250 0.166 0.750
P1 P 0.000 0.000 0.500
P2 P 0.000 0.167 0.000
P3 P 0.000 0.333 0.500
S1 S 0.000 0.500 0.000



Record 19
# LaCdRh, optimized geometry, DFT PBE
# - Energy: -60.019 eV/cell
# - Total magnetization: 0.000 μB/f.u.
# - Formation enthalpy at 0 K: -0.6036 eV/atom
data_LaCdRh
_cell_length_a 3.898
_cell_length_b 18.148
_cell_length_c 4.078
_cell_angle_alpha 90.00
_cell_angle_beta 90.00
_cell_angle_gamma 90.00
_space_group_name_H-M_alt 'C m c m'
_space_group_IT_number 63
_space_group_name_Hall '-C 2c 2'
loop_
_atom_site_label
_atom_site_type_symbol
_atom_site_fract_x
_atom_site_fract_y
_atom_site_fract_z
La1 La 0.000 0.092 0.250
Cd1 Cd 0.000 0.290 0.250
Rh1 Rh 0.000 0.444 0.250



Record 20
# Tl2ReIr, optimized geometry, DFT PBE
# - E above lowest polymorph: 0.000 eV per atom
# - Energy: -24.234 eV/cell
# - Total magnetization: 0.000 μB/f.u.
# - Formation enthalpy at 0 K: 0.4519 eV/atom
data_Tl2ReIr
_cell_length_a 2.964
_cell_length_b 2.964
_cell_length_c 9.778
_cell_angle_alpha 90.00
_cell_angle_beta 90.00
_cell_angle_gamma 90.00
_space_group_name_H-M_alt 'P 4 m m'
_space_group_IT_number 99
loop_
_space_group_symop_operation_xyz
'x,y,z'
'-y,x,z'
'-x,-y,z'
'y,-x,z'
'-x,y,z'
'y,x,z'
'x,-y,z'
'-y,-x,z'
loop_
_atom_site_label
_atom_site_type_symbol
_atom_site_fract_x
_atom_site_fract_y
_atom_site_fract_z
Tl1 Tl 0.000 0.000 0.000
Tl2 Tl 0.500 0.500 0.352
Re1 Re 0.500 0.500 0.758
Ir1 Ir 0.000 0.000 0.601